Below is a relaxed structure of Pm3Cu4Ge2, with properties calculated at the PBE level.

Values from the calculation:
Total energy = -4.921 eV/atom
Magnetization = 0.00 μB per formula unit
Calculated formation energy = -491 meV/atom
DOS at the Fermi energy = 0.337 states/eV per atom

```
data_Pm3Cu4Ge2
_symmetry_space_group_name_H-M 'P 1'
_symmetry_Int_Tables_number 1
_symmetry_space_group_name_Hall 'P 1'
_cell_length_a 4.269
_cell_length_b 5.758
_cell_length_c 8.455
_cell_angle_alpha 106.99
_cell_angle_beta 90.00
_cell_angle_gamma 111.76
loop_
_atom_site_label
_atom_site_fract_x
_atom_site_fract_y
_atom_site_fract_z
Pm1 0.665 0.330 0.666
Pm2 0.000 0.000 0.000
Pm3 0.335 0.670 0.334
Cu1 0.719 0.438 0.054
Cu2 0.281 0.562 0.946
Cu3 0.943 0.886 0.609
Cu4 0.057 0.114 0.391
Ge1 0.610 0.220 0.278
Ge2 0.390 0.780 0.722
```

---

Below is a relaxed structure of Pm2CuGe6, with properties calculated at the PBE level.

Values from the calculation:
Total energy = -4.689 eV/atom
Magnetization = 0.00 μB per formula unit
Calculated formation energy = -100 meV/atom
DOS at the Fermi energy = 0.485 states/eV per atom

```
data_Pm2CuGe6
_symmetry_space_group_name_H-M 'P 1'
_symmetry_Int_Tables_number 1
_symmetry_space_group_name_Hall 'P 1'
_cell_length_a 4.099
_cell_length_b 7.991
_cell_length_c 7.991
_cell_angle_alpha 74.89
_cell_angle_beta 75.01
_cell_angle_gamma 75.01
loop_
_atom_site_label
_atom_site_fract_x
_atom_site_fract_y
_atom_site_fract_z
Pm1 0.196 0.361 0.361
Pm2 0.890 0.664 0.664
Cu1 0.650 0.906 0.906
Ge1 0.365 0.974 0.410
Ge2 0.726 0.058 0.600
Ge3 0.726 0.600 0.058
Ge4 0.541 0.370 0.658
Ge5 0.541 0.658 0.370
Ge6 0.365 0.410 0.974
```

---

Below is a relaxed structure of Pm7Cu2Ge2, with properties calculated at the PBE level.

Values from the calculation:
Total energy = -4.728 eV/atom
Magnetization = 0.00 μB per formula unit
Calculated formation energy = -121 meV/atom
DOS at the Fermi energy = 1.158 states/eV per atom

```
data_Pm7Cu2Ge2
_symmetry_space_group_name_H-M 'P 1'
_symmetry_Int_Tables_number 1
_symmetry_space_group_name_Hall 'P 1'
_cell_length_a 6.858
_cell_length_b 6.977
_cell_length_c 6.858
_cell_angle_alpha 90.00
_cell_angle_beta 110.06
_cell_angle_gamma 90.00
loop_
_atom_site_label
_atom_site_fract_x
_atom_site_fract_y
_atom_site_fract_z
Pm1 0.000 0.273 0.500
Pm2 0.500 0.727 0.000
Pm3 0.000 0.727 0.500
Pm4 0.500 0.273 0.000
Pm5 0.000 0.000 0.000
Pm6 0.500 0.750 0.500
Pm7 0.500 0.250 0.500
Cu1 0.712 0.000 0.288
Cu2 0.288 0.000 0.712
Ge1 0.834 0.500 0.834
Ge2 0.166 0.500 0.166
```

---

Below is a relaxed structure of Pm2CuGe2, with properties calculated at the PBE level.

Values from the calculation:
Total energy = -5.274 eV/atom
Magnetization = 0.00 μB per formula unit
Calculated formation energy = -707 meV/atom
DOS at the Fermi energy = 0.678 states/eV per atom

```
data_Pm2CuGe2
_symmetry_space_group_name_H-M 'P 1'
_symmetry_Int_Tables_number 1
_symmetry_space_group_name_Hall 'P 1'
_cell_length_a 4.291
_cell_length_b 5.862
_cell_length_c 9.787
_cell_angle_alpha 83.97
_cell_angle_beta 77.34
_cell_angle_gamma 68.53
loop_
_atom_site_label
_atom_site_fract_x
_atom_site_fract_y
_atom_site_fract_z
Pm1 0.706 0.238 0.350
Pm2 0.901 0.295 0.903
Pm3 0.294 0.762 0.650
Pm4 0.099 0.705 0.097
Cu1 0.570 0.178 0.683
Cu2 0.430 0.822 0.317
Ge1 0.042 0.326 0.590
Ge2 0.626 0.865 0.883
Ge3 0.958 0.674 0.410
Ge4 0.374 0.135 0.117
```

---

Below is a relaxed structure of PmCu12Ge6, with properties calculated at the PBE level.

Values from the calculation:
Total energy = -4.241 eV/atom
Magnetization = 0.00 μB per formula unit
Calculated formation energy = 54 meV/atom
DOS at the Fermi energy = 0.303 states/eV per atom

```
data_PmCu12Ge6
_symmetry_space_group_name_H-M 'P 1'
_symmetry_Int_Tables_number 1
_symmetry_space_group_name_Hall 'P 1'
_cell_length_a 6.845
_cell_length_b 6.845
_cell_length_c 6.845
_cell_angle_alpha 102.79
_cell_angle_beta 102.79
_cell_angle_gamma 102.79
loop_
_atom_site_label
_atom_site_fract_x
_atom_site_fract_y
_atom_site_fract_z
Pm1 0.000 0.000 0.000
Cu1 0.888 0.112 0.500
Cu2 0.863 0.614 0.614
Cu3 0.614 0.614 0.863
Cu4 0.386 0.137 0.386
Cu5 0.386 0.386 0.137
Cu6 0.137 0.386 0.386
Cu7 0.112 0.500 0.888
Cu8 0.500 0.888 0.112
Cu9 0.112 0.888 0.500
Cu10 0.888 0.500 0.112
Cu11 0.500 0.112 0.888
Cu12 0.614 0.863 0.614
Ge1 0.701 0.271 0.271
Ge2 0.271 0.271 0.701
Ge3 0.271 0.701 0.271
Ge4 0.729 0.729 0.299
Ge5 0.299 0.729 0.729
Ge6 0.729 0.299 0.729
```

---

Below is a relaxed structure of Pm3Cu4Ge4, with properties calculated at the PBE level.

Values from the calculation:
Total energy = -5.071 eV/atom
Magnetization = 0.00 μB per formula unit
Calculated formation energy = -607 meV/atom
DOS at the Fermi energy = 0.595 states/eV per atom

```
data_Pm3Cu4Ge4
_symmetry_space_group_name_H-M 'P 1'
_symmetry_Int_Tables_number 1
_symmetry_space_group_name_Hall 'P 1'
_cell_length_a 4.170
_cell_length_b 4.211
_cell_length_c 12.492
_cell_angle_alpha 80.23
_cell_angle_beta 80.38
_cell_angle_gamma 89.97
loop_
_atom_site_label
_atom_site_fract_x
_atom_site_fract_y
_atom_site_fract_z
Pm1 0.152 0.652 0.697
Pm2 0.848 0.349 0.303
Pm3 0.000 0.000 0.000
Cu1 0.597 0.096 0.807
Cu2 0.251 0.249 0.500
Cu3 0.749 0.751 0.500
Cu4 0.403 0.904 0.193
Ge1 0.553 0.552 0.896
Ge2 0.447 0.448 0.104
Ge3 0.305 0.805 0.389
Ge4 0.695 0.195 0.611
```

---

Below is a relaxed structure of PmCu3Ge3, with properties calculated at the PBE level.

Values from the calculation:
Total energy = -4.570 eV/atom
Magnetization = 0.00 μB per formula unit
Calculated formation energy = -157 meV/atom
DOS at the Fermi energy = 0.271 states/eV per atom

```
data_PmCu3Ge3
_symmetry_space_group_name_H-M 'P 1'
_symmetry_Int_Tables_number 1
_symmetry_space_group_name_Hall 'P 1'
_cell_length_a 6.152
_cell_length_b 6.152
_cell_length_c 8.481
_cell_angle_alpha 68.74
_cell_angle_beta 68.74
_cell_angle_gamma 60.00
loop_
_atom_site_label
_atom_site_fract_x
_atom_site_fract_y
_atom_site_fract_z
Pm1 0.313 0.313 0.060
Pm2 0.687 0.687 0.940
Cu1 0.586 0.764 0.582
Cu2 0.764 0.068 0.582
Cu3 0.068 0.586 0.582
Cu4 0.932 0.414 0.418
Cu5 0.236 0.932 0.418
Cu6 0.414 0.236 0.418
Ge1 0.201 0.706 0.244
Ge2 0.848 0.201 0.244
Ge3 0.706 0.848 0.244
Ge4 0.294 0.152 0.756
Ge5 0.152 0.799 0.756
Ge6 0.799 0.294 0.756
```

---

Below is a relaxed structure of Pm2CuGe5, with properties calculated at the PBE level.

Values from the calculation:
Total energy = -4.997 eV/atom
Magnetization = 0.00 μB per formula unit
Calculated formation energy = -411 meV/atom
DOS at the Fermi energy = 0.409 states/eV per atom

```
data_Pm2CuGe5
_symmetry_space_group_name_H-M 'P 1'
_symmetry_Int_Tables_number 1
_symmetry_space_group_name_Hall 'P 1'
_cell_length_a 6.046
_cell_length_b 6.046
_cell_length_c 6.278
_cell_angle_alpha 118.78
_cell_angle_beta 118.78
_cell_angle_gamma 90.00
loop_
_atom_site_label
_atom_site_fract_x
_atom_site_fract_y
_atom_site_fract_z
Pm1 0.247 0.747 0.494
Pm2 0.747 0.247 0.494
Cu1 0.131 0.131 0.261
Ge1 0.729 0.253 0.982
Ge2 0.253 0.253 0.982
Ge3 0.729 0.729 0.982
Ge4 0.253 0.729 0.982
Ge5 0.689 0.689 0.378
```

---

Below is a relaxed structure of PmPr2Cu2Ge2, with properties calculated at the PBE level.

Values from the calculation:
Total energy = -5.023 eV/atom
Magnetization = 0.00 μB per formula unit
Calculated formation energy = -489 meV/atom
DOS at the Fermi energy = 0.789 states/eV per atom

```
data_PmPr2Cu2Ge2
_symmetry_space_group_name_H-M 'P 1'
_symmetry_Int_Tables_number 1
_symmetry_space_group_name_Hall 'P 1'
_cell_length_a 4.315
_cell_length_b 4.315
_cell_length_c 10.558
_cell_angle_alpha 78.21
_cell_angle_beta 78.21
_cell_angle_gamma 60.00
loop_
_atom_site_label
_atom_site_fract_x
_atom_site_fract_y
_atom_site_fract_z
Pm1 0.000 0.000 0.000
Pr1 0.123 0.123 0.631
Pr2 0.877 0.877 0.369
Cu1 0.606 0.606 0.183
Cu2 0.394 0.394 0.817
Ge1 0.730 0.730 0.811
Ge2 0.270 0.270 0.189
```

---

Below is a relaxed structure of PmCuGePt2, with properties calculated at the PBE level.

Values from the calculation:
Total energy = -5.837 eV/atom
Magnetization = 0.00 μB per formula unit
Calculated formation energy = -728 meV/atom
DOS at the Fermi energy = 0.656 states/eV per atom

```
data_PmCuGePt2
_symmetry_space_group_name_H-M 'P 1'
_symmetry_Int_Tables_number 1
_symmetry_space_group_name_Hall 'P 1'
_cell_length_a 4.071
_cell_length_b 3.972
_cell_length_c 6.407
_cell_angle_alpha 108.06
_cell_angle_beta 108.53
_cell_angle_gamma 90.00
loop_
_atom_site_label
_atom_site_fract_x
_atom_site_fract_y
_atom_site_fract_z
Pm1 0.449 0.449 0.898
Cu1 0.197 0.697 0.395
Ge1 0.826 0.826 0.652
Pt1 0.700 0.200 0.400
Pt2 0.040 0.040 0.079
```

---

Below is a relaxed structure of Pm2CuGe4Pt3, with properties calculated at the PBE level.

Values from the calculation:
Total energy = -5.859 eV/atom
Magnetization = 0.00 μB per formula unit
Calculated formation energy = -840 meV/atom
DOS at the Fermi energy = 0.477 states/eV per atom

```
data_Pm2CuGe4Pt3
_symmetry_space_group_name_H-M 'P 1'
_symmetry_Int_Tables_number 1
_symmetry_space_group_name_Hall 'P 1'
_cell_length_a 4.313
_cell_length_b 4.313
_cell_length_c 10.223
_cell_angle_alpha 90.00
_cell_angle_beta 90.00
_cell_angle_gamma 90.00
loop_
_atom_site_label
_atom_site_fract_x
_atom_site_fract_y
_atom_site_fract_z
Pm1 0.500 0.000 0.256
Pm2 0.000 0.500 0.744
Cu1 0.500 0.500 0.500
Ge1 0.500 0.500 0.000
Ge2 0.000 0.000 0.000
Ge3 0.500 0.000 0.630
Ge4 0.000 0.500 0.370
Pt1 0.000 0.000 0.500
Pt2 0.500 0.000 0.872
Pt3 0.000 0.500 0.128
```

---

Below is a relaxed structure of PmCu2GePt, with properties calculated at the PBE level.

Values from the calculation:
Total energy = -5.236 eV/atom
Magnetization = 0.00 μB per formula unit
Calculated formation energy = -516 meV/atom
DOS at the Fermi energy = 0.621 states/eV per atom

```
data_PmCu2GePt
_symmetry_space_group_name_H-M 'P 1'
_symmetry_Int_Tables_number 1
_symmetry_space_group_name_Hall 'P 1'
_cell_length_a 3.994
_cell_length_b 4.156
_cell_length_c 6.083
_cell_angle_alpha 109.98
_cell_angle_beta 109.17
_cell_angle_gamma 90.00
loop_
_atom_site_label
_atom_site_fract_x
_atom_site_fract_y
_atom_site_fract_z
Pm1 0.447 0.447 0.894
Cu1 0.696 0.196 0.393
Cu2 0.051 0.051 0.102
Ge1 0.828 0.828 0.655
Pt1 0.190 0.690 0.380
```

---

> Among the records above, which one has the lowest DOS at the Fermi energy?

PmCu3Ge3